1.
# K4HgO, relaxed, DFT PBE-GGA
data_K4HgO
_chemical_formula_sum 'K8 Hg2 O2'
_cell_length_a 5.477
_cell_length_b 7.938
_cell_length_c 11.022
_cell_angle_alpha 90.00
_cell_angle_beta 104.34
_cell_angle_gamma 90.00
_symmetry_space_group_name_H-M 'P 1 21/m 1'
_symmetry_Int_Tables_number 11
_symmetry_space_group_name_Hall '-P 2yb'
loop_
_atom_site_label
_atom_site_type_symbol
_atom_site_fract_x
_atom_site_fract_y
_atom_site_fract_z
K1 K 0.000 0.000 0.000
K2 K 0.173 0.022 0.347
K3 K 0.419 0.750 0.838
Hg1 Hg 0.390 0.250 0.779
O1 O 0.088 0.250 0.175
# ΔE to the lowest computed polymorph (kJ per mole of atoms): 0.0

---

2.
Material: K14Hg6O3
Method: DFT, PBE-GGA
State: relaxed

Cell and atoms, written as CIF:
```
data_K14Hg6O3
_chemical_formula_sum 'K14 Hg6 O3'
_cell_length_a 12.7026
_cell_length_b 12.7026
_cell_length_c 7.3923
_cell_angle_alpha 90.00
_cell_angle_beta 90.00
_cell_angle_gamma 120.00
_symmetry_space_group_name_H-M 'P 3'
_symmetry_Int_Tables_number 143
_symmetry_space_group_name_Hall 'P 3'
loop_
_atom_site_label
_atom_site_type_symbol
_atom_site_fract_x
_atom_site_fract_y
_atom_site_fract_z
K1 K 0.0000 0.0000 0.0000
K2 K 0.0282 0.8361 0.5553
K3 K 0.2052 0.4596 0.0082
K4 K 0.3333 0.6667 0.4436
K5 K 0.4727 0.2041 0.8361
K6 K 0.5087 0.3574 0.2448
Hg1 Hg 0.0289 0.5486 0.6705
Hg2 Hg 0.3480 0.0117 0.4281
O1 O 0.0000 0.0000 0.6731
O2 O 0.3333 0.6667 0.1123
O3 O 0.6667 0.3333 0.0405
```

---

3.
Material: K11HgO2
Method: DFT, PBE-GGA
State: relaxed

Cell and atoms, written as CIF:
```
data_K11HgO2
_chemical_formula_sum 'K44 Hg4 O8'
_cell_length_a 13.844
_cell_length_b 13.876
_cell_length_c 14.823
_cell_angle_alpha 90.00
_cell_angle_beta 90.00
_cell_angle_gamma 90.00
_symmetry_space_group_name_H-M 'I b a m'
_symmetry_Int_Tables_number 72
_symmetry_space_group_name_Hall '-I 2 2c'
loop_
_atom_site_label
_atom_site_type_symbol
_atom_site_fract_x
_atom_site_fract_y
_atom_site_fract_z
K1 K 0.000 0.000 0.000
K2 K 0.064 0.251 0.128
K3 K 0.215 0.218 0.500
K4 K 0.248 0.439 0.372
Hg1 Hg 0.000 0.500 0.250
O1 O 0.153 0.151 0.000
```

---

4.
Material: K10Hg2O3
Method: DFT, PBE-GGA
State: relaxed

Cell and atoms, written as CIF:
```
data_K10Hg2O3
_chemical_formula_sum 'K40 Hg8 O12'
_cell_length_a 25.553
_cell_length_b 8.131
_cell_length_c 11.031
_cell_angle_alpha 90.00
_cell_angle_beta 112.47
_cell_angle_gamma 90.00
_symmetry_space_group_name_H-M 'C 1 2/m 1'
_symmetry_Int_Tables_number 12
_symmetry_space_group_name_Hall '-C 2y'
loop_
_atom_site_label
_atom_site_type_symbol
_atom_site_fract_x
_atom_site_fract_y
_atom_site_fract_z
K1 K 0.000 0.206 0.000
K2 K 0.019 0.500 0.662
K3 K 0.024 0.000 0.679
K4 K 0.107 0.240 0.518
K5 K 0.137 0.000 0.245
K6 K 0.143 0.230 0.969
K7 K 0.231 0.000 0.754
K8 K 0.250 0.250 0.500
Hg1 Hg 0.118 0.500 0.238
Hg2 Hg 0.216 0.500 0.787
O1 O 0.000 0.248 0.500
O2 O 0.074 0.000 0.968
O3 O 0.175 0.000 0.504
```

---

5.
Material: KHgO2
Method: DFT, PBE-GGA
State: relaxed

Cell and atoms, written as CIF:
```
data_KHgO2
_chemical_formula_sum 'K1 Hg1 O2'
_cell_length_a 3.237
_cell_length_b 3.734
_cell_length_c 6.117
_cell_angle_alpha 90.00
_cell_angle_beta 90.00
_cell_angle_gamma 90.00
_symmetry_space_group_name_H-M 'P m m m'
_symmetry_Int_Tables_number 47
_symmetry_space_group_name_Hall '-P 2 2'
loop_
_atom_site_label
_atom_site_type_symbol
_atom_site_fract_x
_atom_site_fract_y
_atom_site_fract_z
K1 K 0.000 0.000 0.000
Hg1 Hg 0.000 0.500 0.500
O1 O 0.500 0.500 0.263
```

---

6.
# K6HgO, relaxed, DFT PBE-GGA
data_K6HgO
_chemical_formula_sum 'K24 Hg4 O4'
_cell_length_a 14.211
_cell_length_b 7.518
_cell_length_c 14.536
_cell_angle_alpha 90.00
_cell_angle_beta 107.52
_cell_angle_gamma 90.00
_symmetry_space_group_name_H-M 'C 1 2/c 1'
_symmetry_Int_Tables_number 15
_symmetry_space_group_name_Hall '-C 2yc'
loop_
_atom_site_label
_atom_site_type_symbol
_atom_site_fract_x
_atom_site_fract_y
_atom_site_fract_z
K1 K 0.085 0.095 0.393
K2 K 0.146 0.467 0.015
K3 K 0.226 0.117 0.661
Hg1 Hg 0.000 0.381 0.750
O1 O 0.250 0.250 0.500
# ΔE to the lowest computed polymorph (kJ per mole of atoms): 0.5

---

7.
Material: K7Hg2O
Method: DFT, PBE-GGA
State: relaxed

Cell and atoms, written as CIF:
```
data_K7Hg2O
_chemical_formula_sum 'K28 Hg8 O4'
_cell_length_a 17.305
_cell_length_b 11.837
_cell_length_c 12.400
_cell_angle_alpha 90.00
_cell_angle_beta 132.24
_cell_angle_gamma 90.00
_symmetry_space_group_name_H-M 'C 1 2/c 1'
_symmetry_Int_Tables_number 15
_symmetry_space_group_name_Hall '-C 2yc'
loop_
_atom_site_label
_atom_site_type_symbol
_atom_site_fract_x
_atom_site_fract_y
_atom_site_fract_z
K1 K 0.000 0.134 0.250
K2 K 0.101 0.213 0.725
K3 K 0.124 0.445 0.485
K4 K 0.145 0.069 0.031
Hg1 Hg 0.158 0.328 0.223
O1 O 0.000 0.080 0.750
```

---

8.
Material: KHgO3
Method: DFT, PBE-GGA
State: relaxed

Cell and atoms, written as CIF:
```
data_KHgO3
_chemical_formula_sum 'K1 Hg1 O3'
_cell_length_a 5.325
_cell_length_b 5.325
_cell_length_c 5.325
_cell_angle_alpha 90.00
_cell_angle_beta 90.00
_cell_angle_gamma 90.00
_symmetry_space_group_name_H-M 'P m -3 m'
_symmetry_Int_Tables_number 221
_symmetry_space_group_name_Hall '-P 4 2 3'
loop_
_atom_site_label
_atom_site_type_symbol
_atom_site_fract_x
_atom_site_fract_y
_atom_site_fract_z
K1 K 0.000 0.000 0.000
Hg1 Hg 0.500 0.500 0.500
O1 O 0.000 0.000 0.500
```

---

9.
# K3HgO3, relaxed, DFT PBE-GGA
data_K3HgO3
_chemical_formula_sum 'K6 Hg2 O6'
_cell_length_a 7.429
_cell_length_b 5.594
_cell_length_c 7.921
_cell_angle_alpha 90.00
_cell_angle_beta 112.27
_cell_angle_gamma 90.00
_symmetry_space_group_name_H-M 'P 1 21/m 1'
_symmetry_Int_Tables_number 11
_symmetry_space_group_name_Hall '-P 2yb'
loop_
_atom_site_label
_atom_site_type_symbol
_atom_site_fract_x
_atom_site_fract_y
_atom_site_fract_z
K1 K 0.059 0.250 0.380
K2 K 0.304 0.250 0.891
K3 K 0.420 0.750 0.632
Hg1 Hg 0.214 0.750 0.157
O1 O 0.088 0.750 0.345
O2 O 0.286 0.750 0.934
O3 O 0.448 0.250 0.637
# ΔE to the lowest computed polymorph (kJ per mole of atoms): 0.0

---

10.
Material: KHg3O3
Method: DFT, PBE-GGA
State: relaxed

Cell and atoms, written as CIF:
```
data_KHg3O3
_chemical_formula_sum 'K6 Hg18 O18'
_cell_length_a 6.7394
_cell_length_b 6.7394
_cell_length_c 22.0375
_cell_angle_alpha 90.00
_cell_angle_beta 90.00
_cell_angle_gamma 120.00
_symmetry_space_group_name_H-M 'R -3'
_symmetry_Int_Tables_number 148
_symmetry_space_group_name_Hall '-R 3'
loop_
_atom_site_label
_atom_site_type_symbol
_atom_site_fract_x
_atom_site_fract_y
_atom_site_fract_z
K1 K 0.0000 0.0000 0.1701
Hg1 Hg 0.0119 0.7153 0.6109
O1 O 0.0098 0.6443 0.4062
```

---

11.
Material: KHgO2
Method: DFT, PBE-GGA
State: relaxed

Cell and atoms, written as CIF:
```
data_KHgO2
_chemical_formula_sum 'K4 Hg4 O8'
_cell_length_a 5.607
_cell_length_b 5.607
_cell_length_c 11.030
_cell_angle_alpha 90.00
_cell_angle_beta 90.00
_cell_angle_gamma 90.00
_symmetry_space_group_name_H-M 'I -4 2 d'
_symmetry_Int_Tables_number 122
_symmetry_space_group_name_Hall 'I -4 2bw'
loop_
_atom_site_label
_atom_site_type_symbol
_atom_site_fract_x
_atom_site_fract_y
_atom_site_fract_z
K1 K 0.000 0.000 0.000
Hg1 Hg 0.000 0.000 0.500
O1 O 0.177 0.250 0.625
```

---

12.
Material: K8Hg6O
Method: DFT, PBE-GGA
State: relaxed

Cell and atoms, written as CIF:
```
data_K8Hg6O
_chemical_formula_sum 'K24 Hg18 O3'
_cell_length_a 10.7818
_cell_length_b 10.7818
_cell_length_c 18.6231
_cell_angle_alpha 90.00
_cell_angle_beta 90.00
_cell_angle_gamma 120.00
_symmetry_space_group_name_H-M 'R -3'
_symmetry_Int_Tables_number 148
_symmetry_space_group_name_Hall '-R 3'
loop_
_atom_site_label
_atom_site_type_symbol
_atom_site_fract_x
_atom_site_fract_y
_atom_site_fract_z
K1 K 0.0000 0.0000 0.1754
K2 K 0.0073 0.7996 0.5804
Hg1 Hg 0.0102 0.4400 0.5754
O1 O 0.0000 0.0000 0.5000
```

---

For the records above, the corresponding formation energy without anion corrections values read -573; -471; -424; -655; -608; -438; -377; 825; -925; -402; -460; -351 meV/atom.
For the records above, the corresponding electronic total energy values read -2.182; -1.864; -2.016; -2.418; -3.437; -1.918; -1.701; -2.430; -3.564; -2.813; -3.289; -1.388 eV per atom.